[1]
4
Lattice="-1.5030 -3.1019 1.3248 0.5577 -1.6591 -3.2521 3.4952 -1.1804 1.2016" Properties=species:S:1:pos:R:3 comment="Fe2NiAu PBE-GGA relaxed" sg="P4/mmm, No. 123" crystal_system=tetragonal volume_a3_per_fu=53 polymorph_energy_mev_per_atom=0 delta_e_f_ev_per_atom=0.06 pbc="T T T"
Ni 0.9961 -2.1412 1.2632
Au 2.0265 -1.4198 -1.0253
Fe 0.0000 0.0000 0.0000
Fe -0.4726 -2.3805 -0.9637

---

[2]
4
Lattice="-1.7350 4.4042 -0.6598 -4.0804 0.5325 2.4309 4.3197 -1.5860 1.2913" Properties=species:S:1:pos:R:3 comment="Cr2TeRu PBE-GGA relaxed" sg="I-4m2, No. 119" crystal_system=tetragonal volume_a3_per_fu=59 raw_formation_energy_ev_per_atom=0.37 pbc="T T T"
Cr 0.0000 0.0000 0.0000
Cr -1.3342 0.7074 2.3039
Ru -2.9077 2.4683 0.8856
Te -0.1615 2.6433 0.7585

---

no.,magnetization (μB per atom)
1,1.58
2,0.84